No. 1
# Ba5MgCd6 PBE optimized geometry
data_Ba5MgCd6
_cell_length_a 18.420
_cell_length_b 8.303
_cell_length_c 5.850
_cell_angle_alpha 90.00
_cell_angle_beta 108.41
_cell_angle_gamma 90.00
_space_group_name_H-M_alt 'C 1 2/m 1'
_space_group_IT_number 12
loop_
_space_group_symop_operation_xyz
'x,y,z'
'-x,-y,-z'
'-x,y,-z'
'x,-y,z'
'x+1/2,y+1/2,z'
'-x+1/2,-y+1/2,-z'
'-x+1/2,y+1/2,-z'
'x+1/2,-y+1/2,z'
loop_
_atom_site_label
_atom_site_type_symbol
_atom_site_fract_x
_atom_site_fract_y
_atom_site_fract_z
_atom_site_occupancy
Ba1 Ba 0.000 0.000 0.000 1
Ba2 Ba 0.166 0.000 0.667 1
Ba3 Ba 0.175 0.500 0.676 1
Mg1 Mg 0.000 0.500 0.000 1
Cd1 Cd 0.000 0.279 0.500 1
Cd2 Cd 0.151 0.278 0.152 1
# - DFT formation energy (eV/f.u.) = -3.029

=====

No. 2
# BaMg10Cd2 PBE optimized geometry
data_BaMg10Cd2
_cell_length_a 6.011
_cell_length_b 7.947
_cell_length_c 7.962
_cell_angle_alpha 81.83
_cell_angle_beta 67.86
_cell_angle_gamma 67.98
_space_group_name_H-M_alt 'P -1'
_space_group_IT_number 2
loop_
_space_group_symop_operation_xyz
'x,y,z'
'-x,-y,-z'
loop_
_atom_site_label
_atom_site_type_symbol
_atom_site_fract_x
_atom_site_fract_y
_atom_site_fract_z
_atom_site_occupancy
Ba1 Ba 0.000 0.000 0.000 1
Mg1 Mg 0.000 0.500 0.000 1
Mg2 Mg 0.005 0.352 0.641 1
Mg3 Mg 0.278 0.220 0.226 1
Mg4 Mg 0.353 0.647 0.642 1
Mg5 Mg 0.496 0.781 0.225 1
Mg6 Mg 0.500 0.500 0.000 1
Cd1 Cd 0.000 0.000 0.500 1
Cd2 Cd 0.500 0.000 0.500 1
# - DFT formation energy (eV/f.u.) = -1.201

=====

No. 3
# BaMg6Cd2 PBE optimized geometry
data_BaMg6Cd2
_cell_length_a 4.774
_cell_length_b 4.774
_cell_length_c 10.542
_cell_angle_alpha 90.00
_cell_angle_beta 90.00
_cell_angle_gamma 90.00
_space_group_name_H-M_alt 'P 4/m m m'
_space_group_IT_number 123
_space_group_name_Hall '-P 4 2'
loop_
_atom_site_label
_atom_site_type_symbol
_atom_site_fract_x
_atom_site_fract_y
_atom_site_fract_z
_atom_site_occupancy
Ba1 Ba 0.000 0.000 0.000 1
Mg1 Mg 0.000 0.000 0.500 1
Mg2 Mg 0.000 0.500 0.305 1
Mg3 Mg 0.500 0.500 0.500 1
Cd1 Cd 0.500 0.500 0.140 1
# - DFT formation energy (eV/f.u.) = -1.182

=====

No. 4
# BaMg2Cd PBE optimized geometry
data_BaMg2Cd
_cell_length_a 6.758
_cell_length_b 12.001
_cell_length_c 3.473
_cell_angle_alpha 90.00
_cell_angle_beta 116.08
_cell_angle_gamma 90.00
_space_group_name_H-M_alt 'C 1 2/m 1'
_space_group_IT_number 12
loop_
_space_group_symop_operation_xyz
'x,y,z'
'-x,-y,-z'
'-x,y,-z'
'x,-y,z'
'x+1/2,y+1/2,z'
'-x+1/2,-y+1/2,-z'
'-x+1/2,y+1/2,-z'
'x+1/2,-y+1/2,z'
loop_
_atom_site_label
_atom_site_type_symbol
_atom_site_fract_x
_atom_site_fract_y
_atom_site_fract_z
_atom_site_occupancy
Ba1 Ba 0.000 0.000 0.000 1
Mg1 Mg 0.250 0.250 0.500 1
Cd1 Cd 0.000 0.500 0.000 1
# - DFT formation energy (eV/f.u.) = 0.355

=====

No. 5
# BaMgCd4 PBE optimized geometry
data_BaMgCd4
_cell_length_a 5.293
_cell_length_b 5.293
_cell_length_c 7.978
_cell_angle_alpha 90.00
_cell_angle_beta 90.00
_cell_angle_gamma 90.00
_space_group_name_H-M_alt 'P 4/m m m'
_space_group_IT_number 123
_space_group_name_Hall '-P 4 2'
loop_
_atom_site_label
_atom_site_type_symbol
_atom_site_fract_x
_atom_site_fract_y
_atom_site_fract_z
_atom_site_occupancy
Ba1 Ba 0.000 0.000 0.000 1
Mg1 Mg 0.500 0.500 0.500 1
Cd1 Cd 0.000 0.500 0.500 1
Cd2 Cd 0.500 0.500 0.169 1
# - energy relative to the lowest polymorph listed for this composition (meV/atom) = 341.4
# - DFT formation energy (eV/f.u.) = 1.127

=====

No. 6
# Ba4MgCd3 PBE optimized geometry
data_Ba4MgCd3
_cell_length_a 4.632
_cell_length_b 5.482
_cell_length_c 13.022
_cell_angle_alpha 90.00
_cell_angle_beta 90.00
_cell_angle_gamma 90.00
_space_group_name_H-M_alt 'P m m 2'
_space_group_IT_number 25
loop_
_space_group_symop_operation_xyz
'x,y,z'
'-x,-y,z'
'-x,y,z'
'x,-y,z'
loop_
_atom_site_label
_atom_site_type_symbol
_atom_site_fract_x
_atom_site_fract_y
_atom_site_fract_z
_atom_site_occupancy
Ba1 Ba 0.000 0.000 0.000 1
Ba2 Ba 0.000 0.500 0.280 1
Ba3 Ba 0.500 0.000 0.489 1
Ba4 Ba 0.500 0.500 0.785 1
Mg1 Mg 0.000 0.000 0.701 1
Cd1 Cd 0.000 0.500 0.574 1
Cd2 Cd 0.500 0.000 0.208 1
Cd3 Cd 0.500 0.500 0.071 1
# - energy relative to the lowest polymorph listed for this composition (meV/atom) = 33.3
# - DFT formation energy (eV/f.u.) = -1.745

=====

No. 7
# BaMgCd17 PBE optimized geometry
data_BaMgCd17
_cell_length_a 10.2999
_cell_length_b 10.2999
_cell_length_c 15.1694
_cell_angle_alpha 90.00
_cell_angle_beta 90.00
_cell_angle_gamma 120.00
_space_group_name_H-M_alt 'R 3 m'
_space_group_IT_number 160
_space_group_name_Hall 'R 3 -2"'
loop_
_atom_site_label
_atom_site_type_symbol
_atom_site_fract_x
_atom_site_fract_y
_atom_site_fract_z
_atom_site_occupancy
Ba1 Ba 0.0000 0.0000 0.0000 1
Mg1 Mg 0.0000 0.0000 0.3260 1
Cd1 Cd 0.0000 0.0000 0.5457 1
Cd2 Cd 0.0000 0.0000 0.7497 1
Cd3 Cd 0.0409 0.3706 0.3286 1
Cd4 Cd 0.1771 0.3541 0.1335 1
Cd5 Cd 0.1839 0.3677 0.5017 1
Cd6 Cd 0.1963 0.3925 0.8533 1
# - DFT formation energy (eV/f.u.) = -1.326

=====

No. 8
# Ba3MgCd4 PBE optimized geometry
data_Ba3MgCd4
_cell_length_a 4.094
_cell_length_b 4.094
_cell_length_c 16.405
_cell_angle_alpha 90.00
_cell_angle_beta 90.00
_cell_angle_gamma 90.00
_space_group_name_H-M_alt 'P 4/m m m'
_space_group_IT_number 123
_space_group_name_Hall '-P 4 2'
loop_
_atom_site_label
_atom_site_type_symbol
_atom_site_fract_x
_atom_site_fract_y
_atom_site_fract_z
_atom_site_occupancy
Ba1 Ba 0.000 0.000 0.000 1
Ba2 Ba 0.000 0.000 0.271 1
Mg1 Mg 0.000 0.000 0.500 1
Cd1 Cd 0.500 0.500 0.134 1
Cd2 Cd 0.500 0.500 0.408 1
# - DFT formation energy (eV/f.u.) = -1.900

=====

No. 9
# Ba2Mg2Cd PBE optimized geometry
data_Ba2Mg2Cd
_cell_length_a 12.474
_cell_length_b 5.395
_cell_length_c 12.906
_cell_angle_alpha 90.00
_cell_angle_beta 118.77
_cell_angle_gamma 90.00
_space_group_name_H-M_alt 'C 1 2/m 1'
_space_group_IT_number 12
loop_
_space_group_symop_operation_xyz
'x,y,z'
'-x,-y,-z'
'-x,y,-z'
'x,-y,z'
'x+1/2,y+1/2,z'
'-x+1/2,-y+1/2,-z'
'-x+1/2,y+1/2,-z'
'x+1/2,-y+1/2,z'
loop_
_atom_site_label
_atom_site_type_symbol
_atom_site_fract_x
_atom_site_fract_y
_atom_site_fract_z
_atom_site_occupancy
Ba1 Ba 0.013 0.000 0.336 1
Ba2 Ba 0.200 0.000 0.116 1
Mg1 Mg 0.001 0.500 0.119 1
Mg2 Mg 0.149 0.500 0.552 1
Cd1 Cd 0.227 0.500 0.354 1
# - energy relative to the lowest polymorph listed for this composition (meV/atom) = 17.6
# - DFT formation energy (eV/f.u.) = -0.632

=====

No. 10
# BaMg4Cd6 PBE optimized geometry
data_BaMg4Cd6
_cell_length_a 8.0808
_cell_length_b 8.0808
_cell_length_c 4.9166
_cell_angle_alpha 90.00
_cell_angle_beta 90.00
_cell_angle_gamma 120.00
_space_group_name_H-M_alt 'P -6'
_space_group_IT_number 174
loop_
_space_group_symop_operation_xyz
'x,y,z'
'-x+y,-x,-z'
'-y,x-y,z'
'x,y,-z'
'-x+y,-x,z'
'-y,x-y,-z'
loop_
_atom_site_label
_atom_site_type_symbol
_atom_site_fract_x
_atom_site_fract_y
_atom_site_fract_z
_atom_site_occupancy
Ba1 Ba 0.0000 0.0000 0.0000 1
Mg1 Mg 0.1322 0.7250 0.5000 1
Mg2 Mg 0.6667 0.3333 0.0000 1
Cd1 Cd 0.0915 0.4880 0.0000 1
Cd2 Cd 0.4142 0.1378 0.5000 1
# - DFT formation energy (eV/f.u.) = -1.825

=====

No. 11
# BaMg8Cd4 PBE optimized geometry
data_BaMg8Cd4
_cell_length_a 10.322
_cell_length_b 10.322
_cell_length_c 5.978
_cell_angle_alpha 90.00
_cell_angle_beta 90.00
_cell_angle_gamma 90.00
_space_group_name_H-M_alt 'I 4/m m m'
_space_group_IT_number 139
_space_group_name_Hall '-I 4 2'
loop_
_atom_site_label
_atom_site_type_symbol
_atom_site_fract_x
_atom_site_fract_y
_atom_site_fract_z
_atom_site_occupancy
Ba1 Ba 0.000 0.000 0.000 1
Mg1 Mg 0.000 0.222 0.500 1
Mg2 Mg 0.000 0.355 0.000 1
Cd1 Cd 0.250 0.250 0.250 1
# - DFT formation energy (eV/f.u.) = -1.845

=====

No. 12
# Ba2Mg3Cd2 PBE optimized geometry
data_Ba2Mg3Cd2
_cell_length_a 12.504
_cell_length_b 4.878
_cell_length_c 8.464
_cell_angle_alpha 90.00
_cell_angle_beta 118.12
_cell_angle_gamma 90.00
_space_group_name_H-M_alt 'C 1 2/m 1'
_space_group_IT_number 12
loop_
_space_group_symop_operation_xyz
'x,y,z'
'-x,-y,-z'
'-x,y,-z'
'x,-y,z'
'x+1/2,y+1/2,z'
'-x+1/2,-y+1/2,-z'
'-x+1/2,y+1/2,-z'
'x+1/2,-y+1/2,z'
loop_
_atom_site_label
_atom_site_type_symbol
_atom_site_fract_x
_atom_site_fract_y
_atom_site_fract_z
_atom_site_occupancy
Ba1 Ba 0.137 0.000 0.268 1
Mg1 Mg 0.000 0.500 0.500 1
Mg2 Mg 0.139 0.500 0.929 1
Cd1 Cd 0.140 0.000 0.708 1
# - DFT formation energy (eV/f.u.) = -1.271